(1)
Li2Ag5Pd4: relaxed, PBE-GGA.

Calculated values
**Total DFT energy (no corrections)**: -40.748 eV per cell
**Crystal system**: triclinic
**Energy of formation**: -0.172 eV/atom
**Density of states at the Fermi level**: 3.7 states/eV/f.u.
**SG**: No. 2

Cell and atoms, written as POSCAR:
```
Li2Ag5Pd4
1.0
-1.7732 3.2195 -3.2429
-4.3469 0.9531 1.9747
2.4365 5.7767 4.3391
Ag Pd Li
5 4 2
Cartesian
-2.1464 6.4399 4.9350 Ag
1.2183 2.8883 2.1696 Ag
-3.6251 3.2956 1.4075 Ag
-1.5372 3.5095 -1.8641 Ag
-0.0585 6.6538 1.6634 Ag
-1.9382 1.5225 0.0665 Pd
-0.9844 4.1003 0.8831 Pd
-2.6992 5.8491 2.1878 Pd
-1.7453 8.4268 3.0044 Pd
-3.1953 5.2330 -0.5208 Li
-0.4882 4.7164 3.5917 Li
```



(2)
Li7AgPd4: relaxed, PBE-GGA.

Calculated values
**Total DFT energy (no corrections)**: -39.542 eV per cell
**Crystal system**: monoclinic
**Energy of formation**: -0.210 eV/atom
**Density of states at the Fermi level**: 3.5 states/eV/f.u.
**SG**: No. 12

Cell and atoms, written as POSCAR:
```
Li7AgPd4
1.0
-3.9715 -0.4942 -2.3132
1.0232 -6.9210 -4.8967
-3.7055 -2.7796 2.3371
Pd Li Ag
4 7 1
Cartesian
-1.2639 -2.5537 -1.9031 Pd
-4.2119 -3.2654 -1.3083 Pd
-2.4418 -6.9294 -3.5645 Pd
-5.3898 -7.6412 -2.9698 Pd
-6.1181 -4.9701 -2.2901 Li
-4.0944 -8.1310 -5.0892 Li
-3.6745 -6.0398 -1.6382 Li
-1.9857 -0.2471 -1.1566 Li
-0.5356 -5.2248 -2.5828 Li
-2.9792 -4.1550 -3.2347 Li
-2.5594 -2.0638 0.2164 Li
0.0000 0.0000 0.0000 Ag
```



(3)
LiAg4Pd3: relaxed, PBE-GGA.

Calculated values
**Total DFT energy (no corrections)**: -29.896 eV per cell
**Crystal system**: tetragonal
**Energy of formation**: -0.125 eV/atom
**Density of states at the Fermi level**: 3.4 states/eV/f.u.
**SG**: No. 139

Cell and atoms, written as POSCAR:
```
LiAg4Pd3
1.0
3.9040 0.0000 -1.0538
-0.2793 3.8992 -1.0348
0.1941 0.1671 8.4774
Ag Pd Li
4 3 1
Cartesian
3.3217 3.5416 4.5473 Ag
1.5094 1.5918 5.5916 Ag
2.3094 2.4745 0.7972 Ag
0.4971 0.5247 1.8415 Ag
2.9583 1.0615 3.2012 Pd
0.8604 3.0047 3.1876 Pd
-0.1397 1.9496 -0.5174 Pd
1.9520 0.0000 -0.5269 Li
```



(4)
LiAg5Pd: relaxed, PBE-GGA.

Calculated values
**Total DFT energy (no corrections)**: -39.729 eV per cell
**Crystal system**: monoclinic
**Energy of formation**: 0.214 eV/atom
**Density of states at the Fermi level**: 1.8 states/eV/f.u.
**SG**: No. 15

Cell and atoms, written as POSCAR:
```
LiAg5Pd
1.0
6.6600 -0.9505 -0.0450
1.2115 6.6175 -0.0450
2.9092 2.0944 5.9811
Ag Pd Li
10 2 2
Cartesian
7.0430 2.6953 5.8209 Ag
6.0500 5.4376 1.9889 Ag
2.2500 2.7019 0.9116 Ag
8.5307 5.0595 4.9795 Ag
7.4447 2.9845 3.0607 Ag
3.7377 5.0661 0.0702 Ag
6.2077 1.2116 1.4503 Ag
3.3359 4.7768 2.8304 Ag
4.7307 2.3237 3.9022 Ag
4.5730 6.5498 4.4408 Ag
1.4546 1.0472 2.9905 Pd
0.0000 0.0000 0.0000 Pd
5.9862 4.5868 4.4408 Li
4.7944 3.1746 1.4503 Li
```